1.
Computed, not measured: an optimized crystal structure of ErCd2Hg at the PBE-GGA level of DFT.

Total moment, μB/f.u.: 0.00
ΔE to the lowest computed polymorph, meV/atom: 108
D(E_F), states/eV/cell: 12.430
Formation enthalpy at 0 K, kJ per mole of atoms: -17.4

Structure (CIF):
```
data_ErCd2Hg
_chemical_formula_sum 'Er4 Cd8 Hg4'
_symmetry_space_group_name_H-M 'F m -3 m'
_symmetry_Int_Tables_number 225
_symmetry_space_group_name_Hall '-F 4 2 3'
_cell_length_a 7.174
_cell_length_b 7.174
_cell_length_c 7.174
_cell_angle_alpha 90.00
_cell_angle_beta 90.00
_cell_angle_gamma 90.00
loop_
_atom_site_label
_atom_site_type_symbol
_atom_site_fract_x
_atom_site_fract_y
_atom_site_fract_z
_atom_site_occupancy
Er1 Er 0.000 0.000 0.000 1
Cd1 Cd 0.250 0.250 0.250 1
Hg1 Hg 0.000 0.000 0.500 1
```


2.
Computed, not measured: an optimized crystal structure of Er5Cd2Hg12 at the PBE-GGA level of DFT.

Total moment, μB/f.u.: 0.00
D(E_F), states/eV/cell: 17.567
Formation enthalpy at 0 K, kJ per mole of atoms: -24.1

Structure (CIF):
```
data_Er5Cd2Hg12
_chemical_formula_sum 'Er10 Cd4 Hg24'
_symmetry_space_group_name_H-M 'C 1 2/m 1'
_symmetry_Int_Tables_number 12
_cell_length_a 15.519
_cell_length_b 7.872
_cell_length_c 7.699
_cell_angle_alpha 90.00
_cell_angle_beta 91.14
_cell_angle_gamma 90.00
loop_
_symmetry_equiv_pos_as_xyz
'x,y,z'
'-x,-y,-z'
'-x,y,-z'
'x,-y,z'
'x+1/2,y+1/2,z'
'-x+1/2,-y+1/2,-z'
'-x+1/2,y+1/2,-z'
'x+1/2,-y+1/2,z'
loop_
_atom_site_label
_atom_site_type_symbol
_atom_site_fract_x
_atom_site_fract_y
_atom_site_fract_z
_atom_site_occupancy
Er1 Er 0.000 0.000 0.000 1
Er2 Er 0.175 0.500 0.446 1
Er3 Er 0.244 0.000 0.066 1
Cd1 Cd 0.000 0.217 0.500 1
Hg1 Hg 0.043 0.500 0.749 1
Hg2 Hg 0.112 0.299 0.118 1
Hg3 Hg 0.141 0.000 0.390 1
Hg4 Hg 0.170 0.199 0.736 1
```


3.
Computed, not measured: an optimized crystal structure of ErCd6Hg8 at the PBE-GGA level of DFT.

Total moment, μB/f.u.: 0.00
D(E_F), states/eV/cell: 18.989
Formation enthalpy at 0 K, kJ per mole of atoms: -2.6

Structure (CIF):
```
data_ErCd6Hg8
_chemical_formula_sum 'Er3 Cd18 Hg24'
_symmetry_space_group_name_H-M 'R -3'
_symmetry_Int_Tables_number 148
_symmetry_space_group_name_Hall '-R 3'
_cell_length_a 9.8064
_cell_length_b 9.8064
_cell_length_c 13.9736
_cell_angle_alpha 90.00
_cell_angle_beta 90.00
_cell_angle_gamma 120.00
loop_
_atom_site_label
_atom_site_type_symbol
_atom_site_fract_x
_atom_site_fract_y
_atom_site_fract_z
_atom_site_occupancy
Er1 Er 0.0000 0.0000 0.0000 1
Cd1 Cd 0.0335 0.2026 0.4061 1
Hg1 Hg 0.0000 0.0000 0.2223 1
Hg2 Hg 0.0217 0.2872 0.9054 1
```


4.
Computed, not measured: an optimized crystal structure of Er2CdHg2 at the PBE-GGA level of DFT.

Total moment, μB/f.u.: 0.00
ΔE to the lowest computed polymorph, meV/atom: 0
D(E_F), states/eV/cell: 12.270
Formation enthalpy at 0 K, kJ per mole of atoms: -38.2

Structure (CIF):
```
data_Er2CdHg2
_chemical_formula_sum 'Er8 Cd4 Hg8'
_symmetry_space_group_name_H-M 'P 4/m n c'
_symmetry_Int_Tables_number 128
_symmetry_space_group_name_Hall '-P 4 2n'
_cell_length_a 8.000
_cell_length_b 8.000
_cell_length_c 7.869
_cell_angle_alpha 90.00
_cell_angle_beta 90.00
_cell_angle_gamma 90.00
loop_
_atom_site_label
_atom_site_type_symbol
_atom_site_fract_x
_atom_site_fract_y
_atom_site_fract_z
_atom_site_occupancy
Er1 Er 0.166 0.332 0.000 1
Cd1 Cd 0.000 0.000 0.213 1
Hg1 Hg 0.133 0.633 0.250 1
```


5.
Computed, not measured: an optimized crystal structure of Er5CdHg4 at the PBE-GGA level of DFT.

Total moment, μB/f.u.: 0.00
D(E_F), states/eV/cell: 7.674
Formation enthalpy at 0 K, kJ per mole of atoms: -43.3

Structure (CIF):
```
data_Er5CdHg4
_chemical_formula_sum 'Er5 Cd1 Hg4'
_symmetry_space_group_name_H-M 'P 4/m m m'
_symmetry_Int_Tables_number 123
_symmetry_space_group_name_Hall '-P 4 2'
_cell_length_a 3.691
_cell_length_b 3.691
_cell_length_c 18.503
_cell_angle_alpha 90.00
_cell_angle_beta 90.00
_cell_angle_gamma 90.00
loop_
_atom_site_label
_atom_site_type_symbol
_atom_site_fract_x
_atom_site_fract_y
_atom_site_fract_z
_atom_site_occupancy
Er1 Er 0.000 0.000 0.000 1
Er2 Er 0.000 0.000 0.200 1
Er3 Er 0.000 0.000 0.398 1
Cd1 Cd 0.500 0.500 0.500 1
Hg1 Hg 0.500 0.500 0.100 1
Hg2 Hg 0.500 0.500 0.301 1
```


6.
Computed, not measured: an optimized crystal structure of Er5Cd4Hg at the PBE-GGA level of DFT.

Total moment, μB/f.u.: 0.00
D(E_F), states/eV/cell: 8.837
Formation enthalpy at 0 K, kJ per mole of atoms: -33.7

Structure (CIF):
```
data_Er5Cd4Hg
_chemical_formula_sum 'Er5 Cd4 Hg1'
_symmetry_space_group_name_H-M 'P 4/m m m'
_symmetry_Int_Tables_number 123
_symmetry_space_group_name_Hall '-P 4 2'
_cell_length_a 3.705
_cell_length_b 3.705
_cell_length_c 18.573
_cell_angle_alpha 90.00
_cell_angle_beta 90.00
_cell_angle_gamma 90.00
loop_
_atom_site_label
_atom_site_type_symbol
_atom_site_fract_x
_atom_site_fract_y
_atom_site_fract_z
_atom_site_occupancy
Er1 Er 0.000 0.000 0.000 1
Er2 Er 0.000 0.000 0.201 1
Er3 Er 0.000 0.000 0.402 1
Cd1 Cd 0.500 0.500 0.100 1
Cd2 Cd 0.500 0.500 0.300 1
Hg1 Hg 0.500 0.500 0.500 1
```


| no. | E_tot (eV per atom) |
| --- | --- |
| 1 | -1.854 |
| 2 | -1.738 |
| 3 | -0.858 |
| 4 | -2.525 |
| 5 | -2.942 |
| 6 | -3.027 |